Entry from Alexandria via LeMat-Bulk: a relaxed TaCoRh2 crystal (PBEsol). Values from VASP.

Values from the calculation:
- D(E_F) (states/eV per atom) = 0.9216
- calculated formation energy (meV/atom) = -378
- crystal system = tetragonal

```
&SYSTEM
  ibrav = 0, nat = 4, ntyp = 3
/
ATOMIC_SPECIES
Ta 180.95 Ta.upf
Co 58.93 Co.upf
Rh 102.91 Rh.upf
CELL_PARAMETERS angstrom
-1.914 1.914 3.715
1.914 -1.914 3.715
1.914 1.914 -3.715
ATOMIC_POSITIONS angstrom
Ta 0.000 0.000 0.000
Co 0.000 0.000 3.715
Rh 1.914 0.000 1.858
Rh 0.000 1.914 1.858
```



Entry from Alexandria via LeMat-Bulk: a relaxed CuAs2BrO crystal (PBEsol). Values from VASP.

Values from the calculation:
- D(E_F) (states/eV per atom) = 0.9356
- crystal system = tetragonal
- ΔE_f (raw) (eV per atom) = 0.967

```
&SYSTEM
  ibrav = 0, nat = 5, ntyp = 4
/
ATOMIC_SPECIES
Cu 63.55 Cu.upf
As 74.92 As.upf
Br 79.90 Br.upf
O 16.00 O.upf
CELL_PARAMETERS angstrom
4.598 0.000 0.000
0.000 4.598 0.000
0.000 0.000 4.765
ATOMIC_POSITIONS angstrom
Cu 0.000 0.000 0.000
As 0.000 2.299 0.000
As 2.299 0.000 0.000
Br 0.000 0.000 2.383
O 2.299 2.299 2.383
```



Repeat the first record exactly.
Entry from Alexandria via LeMat-Bulk: a relaxed TaCoRh2 crystal (PBEsol). Values from VASP.

Values from the calculation:
- D(E_F) (states/eV per atom) = 0.9216
- calculated formation energy (meV/atom) = -378
- crystal system = tetragonal

```
&SYSTEM
  ibrav = 0, nat = 4, ntyp = 3
/
ATOMIC_SPECIES
Ta 180.95 Ta.upf
Co 58.93 Co.upf
Rh 102.91 Rh.upf
CELL_PARAMETERS angstrom
-1.914 1.914 3.715
1.914 -1.914 3.715
1.914 1.914 -3.715
ATOMIC_POSITIONS angstrom
Ta 0.000 0.000 0.000
Co 0.000 0.000 3.715
Rh 1.914 0.000 1.858
Rh 0.000 1.914 1.858
```



Which of these has the lowest D(E_F)?
TaCoRh2